DFT (GGA-PBE) results for U2NbRu9 after structural relaxation.

Cell lengths 3.9793, 3.9793, 11.8263 Å; angles 90.00, 90.00, 90.00 degrees
With the nearest neighbours (Å) after each atom.
Space group P4/mmm (No. 123)
Unique sites:
U: 0.0000 0.0000 0.1702 [2 per cell]  12 Ru 2.81-2.83
Nb: 0.0000 0.0000 0.5000 [1 per cell]  12 Ru 2.75-2.81
Ru: 0.0000 0.5000 0.0000 [2 per cell]  8 Ru 2.81-2.83, 4 U 2.83
Ru: 0.0000 0.5000 0.3394 [4 per cell]  2 Nb 2.75, 8 Ru 2.75-2.82, 2 U 2.82
Ru: 0.5000 0.5000 0.1702 [2 per cell]  4 U 2.81, 8 Ru 2.82-2.83
Ru: 0.5000 0.5000 0.5000 [1 per cell]  8 Ru 2.75, 4 Nb 2.81

Summary:
The value obtained for the total energy is -9.9307 eV/atom. The formation energy comes out at -0.253 eV/atom.